# ScTlBi2O6 | Alexandria | GGA-PBE | optimized geometry
data_ScTlBi2O6
_symmetry_space_group_name_H-M 'P 1'
_symmetry_Int_Tables_number 1
_cell_length_a 5.911
_cell_length_b 5.911
_cell_length_c 6.041
_cell_angle_alpha 60.71
_cell_angle_beta 60.71
_cell_angle_gamma 60.00
loop_
_symmetry_equiv_pos_as_xyz
'x,y,z'
loop_
_atom_site_label
_atom_site_fract_x
_atom_site_fract_y
_atom_site_fract_z
Bi1 0.022 0.022 0.933
O1 0.449 0.665 0.756
O2 0.976 0.603 0.245
O3 0.130 0.449 0.756
Tl1 0.804 0.804 0.588
O4 0.177 0.976 0.245
O5 0.603 0.177 0.245
O6 0.665 0.130 0.757
Sc1 0.310 0.310 0.069
Bi2 0.526 0.526 0.422
# E_form (uncorrected) ... -1577 kJ/mol of formula units
# Symmetry ... R3, No. 146
# Density ... 8.4 g/cm3
# VASP energy ... -6.256 eV/atom